1.
BiCSe3 | PBE | relaxed

- raw formation energy (meV/atom) = 2038
- relative energy among the computed polymorphs (meV per atom) = 1212

Geometry as POSCAR:
```
BiCSe3
1.0
5.492 0.000 0.000
0.000 5.492 0.000
0.000 0.000 5.492
Bi C Se
1 1 3
Direct
0.000 0.000 0.000
0.500 0.500 0.500
0.000 0.000 0.500
0.000 0.500 0.000
0.500 0.000 0.000
```



2.
Co2Ni5Pt6 | PBE | relaxed

- energy relative to the elements (eV per atom) = 0.0286

Geometry as POSCAR:
```
Co2Ni5Pt6
1.0
7.925 0.000 0.000
0.000 16.503 0.000
0.000 0.000 2.705
Co Ni Pt
4 10 12
Direct
0.161 0.235 0.000
0.339 0.735 0.000
0.661 0.265 0.000
0.839 0.765 0.000
0.000 0.500 0.500
0.088 0.753 0.500
0.172 0.009 0.500
0.328 0.509 0.500
0.412 0.253 0.500
0.500 0.000 0.500
0.588 0.747 0.500
0.672 0.491 0.500
0.828 0.991 0.500
0.912 0.247 0.500
0.021 0.890 0.000
0.145 0.615 0.000
0.169 0.368 0.500
0.331 0.868 0.500
0.355 0.115 0.000
0.479 0.390 0.000
0.521 0.610 0.000
0.645 0.885 0.000
0.669 0.132 0.500
0.831 0.632 0.500
0.855 0.385 0.000
0.979 0.110 0.000
```



3.
Tb5In2 | PBE | relaxed

- energy relative to the elements (eV per atom) = -0.2775

Geometry as POSCAR:
```
Tb5In2
1.0
2.700 1.559 8.043
-2.700 1.559 8.043
0.000 -3.118 8.043
Tb In
5 2
Direct
0.000 0.000 0.000
0.154 0.154 0.154
0.424 0.424 0.424
0.576 0.576 0.576
0.846 0.846 0.846
0.283 0.283 0.283
0.717 0.717 0.717
```



4.
Ba4H2Rh | PBE | relaxed

- relative energy among the computed polymorphs (meV per atom) = 0

Geometry as POSCAR:
```
Ba4H2Rh
1.0
7.559 -2.291 0.000
7.559 2.291 0.000
-1.523 0.000 7.236
Ba H Rh
4 2 1
Direct
0.113 0.113 0.367
0.366 0.366 0.116
0.634 0.634 0.884
0.887 0.887 0.633
0.185 0.185 0.054
0.815 0.815 0.946
0.500 0.500 0.500
```



5.
Li3Sm2Cu12Rh | PBE | relaxed

- energy relative to the elements (eV per atom) = 0.1064

Geometry as POSCAR:
```
Li3Sm2Cu12Rh
1.0
2.904 1.677 9.679
-2.904 1.677 9.679
0.000 -3.353 9.679
Li Sm Cu Rh
3 2 12 1
Direct
0.000 0.500 0.500
0.500 0.000 0.500
0.500 0.500 0.000
0.145 0.145 0.145
0.855 0.855 0.855
0.087 0.087 0.680
0.087 0.680 0.087
0.125 0.586 0.586
0.320 0.913 0.913
0.414 0.414 0.875
0.414 0.875 0.414
0.586 0.125 0.586
0.586 0.586 0.125
0.680 0.087 0.087
0.875 0.414 0.414
0.913 0.320 0.913
0.913 0.913 0.320
0.500 0.500 0.500
```



6.
KTl3Ga | PBE | relaxed

- energy relative to the elements (eV per atom) = 0.7477
- relative energy among the computed polymorphs (meV per atom) = 788

Geometry as POSCAR:
```
KTl3Ga
1.0
6.135 0.000 0.000
0.000 6.135 0.000
0.000 0.000 6.135
K Tl Ga
1 3 1
Direct
0.000 0.000 0.000
0.000 0.000 0.500
0.000 0.500 0.000
0.500 0.000 0.000
0.500 0.500 0.500
```



Values for size of the total moment, Bohr magnetons per cell, ordered as above
0.0 18.5 0.0 0.7 0.0 0.0
Values for electronic total energy, eV/atom, ordered as above
-2.673 -6.076 -4.367 -3.370 -3.876 -1.497